VASP calculation (GGA+U) on LiNi5O10 after structural relaxation.

CIF file:
```
data_LiNi5O10
_symmetry_space_group_name_H-M 'P 1'
_symmetry_Int_Tables_number 1
_cell_length_a 4.916
_cell_length_b 5.880
_cell_length_c 6.484
_cell_angle_alpha 106.58
_cell_angle_beta 96.93
_cell_angle_gamma 106.13
loop_
_symmetry_equiv_pos_as_xyz
'x,y,z'
loop_
_atom_site_label
_atom_site_type_symbol
_atom_site_fract_x
_atom_site_fract_y
_atom_site_fract_z
Li1 Li 0.000 0.000 0.000
Ni1 Ni 0.000 0.500 0.000
Ni2 Ni 0.200 0.896 0.403
Ni3 Ni 0.401 0.304 0.797
Ni4 Ni 0.599 0.696 0.203
Ni5 Ni 0.800 0.104 0.597
O1 O 0.081 0.423 0.718
O2 O 0.101 0.985 0.681
O3 O 0.276 0.821 0.121
O4 O 0.294 0.374 0.070
O5 O 0.493 0.214 0.519
O6 O 0.507 0.786 0.481
O7 O 0.706 0.626 0.930
O8 O 0.724 0.179 0.879
O9 O 0.899 0.015 0.319
O10 O 0.919 0.577 0.282
```

Values from the calculation:
- DOS(E_F): 0.26 states/eV/atom
- Total DFT energy (no corrections): -4.653 eV per atom
- Total moment: 1.00 μB per formula unit
- Symmetry: No. 2